The following is a PBE+U calculation of a relaxed CaBeCr2O8 crystal, from Alexandria.

Lattice parameters (Å, degrees): 4.7769 4.7769 21.0281 90.00 90.00 120.00
With the nearest neighbours (Å) after each atom.
Space group R-3 (No. 148, hexagonal axes)
Inequivalent atoms, fractional coordinates:
Ca  0.0000  0.0000  0.0000 x3  12 O 2.77-2.94
Be  0.0000  0.0000  0.5000 x3  6 O 1.86
Cr  0.0000  0.0000  0.2419 x6  4 O 1.66-1.67
O  0.0000  0.0000  0.3215 x6  1 Cr 1.67
O  0.0138  0.6509  0.1140 x18  1 Cr 1.66, 1 Be 1.86

Summary:
Electronic total energy (eV/atom): -6.631
Total moment (μB/atom): 0.000